Below is an optimized crystal structure of Li2PtO, with properties calculated at the PBE level.

Results
* ΔE_f (raw): -837 meV/atom
* crystal system: tetragonal

a b c (Å): 6.827 6.827 4.193
angles (deg): 90.00 90.00 90.00
Space group I-42d (No. 122)
One atom of each set of equivalent atoms:
Li: 0.129 0.250 0.125
Pt: 0.000 0.000 0.500
O: 0.000 0.000 0.000

***

Below is an optimized crystal structure of Li7PtO6, with properties calculated at the PBE level.

Results
* ΔE_f (raw): -1540 meV/atom
* crystal system: trigonal

a b c (Å): 5.6345 5.6345 14.3410
angles (deg): 90.00 90.00 120.00
Space group R3 (No. 146, hexagonal axes)
One atom of each set of equivalent atoms:
Li: 0.0000 0.0000 0.0000
Li: 0.0530 0.7084 0.8783
Li: 0.0599 0.3837 0.0972
Pt: 0.0000 0.0000 0.6544
O: 0.0056 0.2943 0.5721
O: 0.0158 0.6316 0.4020

***

Below is an optimized crystal structure of Li2PtO3, with properties calculated at the PBE level.

Results
* ΔE_f (raw): -1251 meV/atom
* crystal system: monoclinic

a b c (Å): 5.206 8.933 5.293
angles (deg): 90.00 110.96 90.00
Space group C2/c (No. 15)
One atom of each set of equivalent atoms:
Li: 0.000 0.090 0.250
Li: 0.000 0.249 0.750
Pt: 0.000 0.414 0.250
O: 0.227 0.424 0.004
O: 0.250 0.250 0.500